1.
Here is KMnGa2Cl8 after structural relaxation from Alexandria. Energies are from GGA-PBE.

Properties
* formation energy without anion corrections: -1.13 eV/atom
* total magnetization: 4.1 Bohr magnetons per cell
* VASP energy: -44.6 eV per cell
* V: 28.09 Å³/atom

a b c (Å): 10.0862 10.0862 10.0862
angles (deg): 37.25 37.25 37.25
Positions (direct):
1 K 0.0000 0.0000 0.0000
2 Mn 0.5000 0.5000 0.5000
3 Ga 0.2436 0.2436 0.2436
4 Ga 0.7564 0.7564 0.7564
5 Cl 0.1270 0.7680 0.4450
6 Cl 0.2320 0.5550 0.8730
7 Cl 0.3234 0.3234 0.3234
8 Cl 0.4450 0.1270 0.7680
9 Cl 0.5550 0.8730 0.2320
10 Cl 0.6766 0.6766 0.6766
11 Cl 0.7680 0.4450 0.1270
12 Cl 0.8730 0.2320 0.5550

=====

2.
Here is KGaNCl2 after structural relaxation from Alexandria. Energies are from GGA-PBE.

Properties
* formation energy without anion corrections: 0.44 eV/atom
* total magnetization: 1.2 Bohr magnetons per cell
* VASP energy: -14.0 eV per cell
* V: 24.57 Å³/atom

a b c (Å): 5.0530 5.0530 4.8120
angles (deg): 90.00 90.00 90.00
Positions (direct):
1 K 0.0000 0.0000 0.0000
2 Ga 0.5000 0.5000 0.0000
3 N 0.0000 0.0000 0.5000
4 Cl 0.0000 0.5000 0.5000
5 Cl 0.5000 0.0000 0.5000

=====

3.
Here is K2NaGaCl6 after structural relaxation from Alexandria. Energies are from GGA-PBE.

Properties
* formation energy without anion corrections: -1.58 eV/atom
* total magnetization: 0.0 Bohr magnetons per cell
* VASP energy: -33.4 eV per cell
* V: 29.75 Å³/atom
* excess energy over the best structure of this formula in the dataset: 0.0000 eV/atom

a b c (Å): 7.1048 7.1048 6.8054
angles (deg): 90.00 90.00 120.00
Positions (direct):
1 K 0.3333 0.6667 0.3488
2 K 0.6667 0.3333 0.6512
3 Na 0.0000 0.0000 0.0000
4 Ga 0.0000 0.0000 0.5000
5 Cl 0.1587 0.3173 0.7067
6 Cl 0.1587 0.8414 0.7067
7 Cl 0.3173 0.1587 0.2933
8 Cl 0.6827 0.8414 0.7067
9 Cl 0.8414 0.1587 0.2933
10 Cl 0.8414 0.6827 0.2933

=====

> The highest total magnetization belongs to which entry?

KMnGa2Cl8

=====

> Which of these has the lowest total magnetization?

K2NaGaCl6

=====

> Among the records above, which one has the lowest formation energy without anion corrections?

K2NaGaCl6

=====

> What is the formula in the third record?

K2NaGaCl6